(1)
Material: SbSeSN2
Method: DFT, GGA-PBE
State: optimized geometry

extended XYZ file:
```
5
Lattice="3.8829 0.0000 0.0000 0.0000 3.8829 0.0000 0.0000 0.0000 4.8935" Properties=species:S:1:pos:R:3 pbc="T T T"
Sb 1.9415 1.9415 2.4467
S 0.0000 0.0000 0.0000
Se 0.0000 0.0000 2.4467
N 0.0000 1.9415 0.0000
N 1.9415 0.0000 0.0000
```

Calculated values
* polymorph energy (0 for the lowest one): 119 meV per atom
* energy relative to the elements, uncorrected: 7.60 eV/f.u.
* total magnetization: 0.46 μB per formula unit


(2)
Material: CaLa2FeBi
Method: DFT, GGA-PBE
State: optimized geometry

extended XYZ file:
```
5
Lattice="-3.3017 -3.6451 -1.3064 2.3197 -3.2366 3.1683 -3.4061 1.6041 4.1325" Properties=species:S:1:pos:R:3 pbc="T T T"
Fe 0.0000 0.0000 0.0000
Ca -1.7030 0.8021 2.0662
Bi -2.1940 -2.6388 2.9972
La 1.1598 -1.6183 1.5841
La -1.6508 -1.8225 -0.6532
```

Calculated values
* E_form: -0.34 eV per atom
* total magnetization: 0.00 μB per formula unit


(3)
Material: AgGePb
Method: DFT, GGA-PBE
State: optimized geometry

extended XYZ file:
```
6
Lattice="-1.1030 1.0994 3.5599 -3.8508 -4.2633 0.1235 6.4857 -2.6981 0.7221" Properties=species:S:1:pos:R:3 pbc="T T T"
Ge 2.0064 -1.2872 3.1398
Ge -0.4744 -4.5748 1.2658
Ag -2.6227 -2.9744 2.2266
Ag 4.1547 -2.8876 2.1790
Pb 1.3859 -4.1624 3.8354
Pb 0.1461 -1.6996 0.5702
```

Calculated values
* E_form: 0.17 eV per atom
* polymorph energy (0 for the lowest one): 3 meV per atom
* total magnetization: 0.00 μB per formula unit


(4)
Material: KNb3Zn4O12
Method: DFT, GGA-PBE
State: optimized geometry

extended XYZ file:
```
20
Lattice="-1.3443 -3.3094 -6.0412 6.9013 1.2475 0.2671 -1.5860 -4.3879 5.2427" Properties=species:S:1:pos:R:3 pbc="T T T"
K 0.0000 0.0000 0.0000
Nb 2.3232 -1.2825 -3.2354
Nb -1.4785 -3.9082 0.2238
Nb 3.1262 -1.2591 2.4802
Zn -1.6802 -5.2507 -3.0702
Zn 1.8780 -3.7044 4.7507
Zn 5.7587 -0.7196 -2.4777
Zn 1.9855 -3.2249 -0.2657
O 0.5568 -4.1735 0.5719
O 2.0797 -2.8045 -4.6640
O 5.1995 -1.4487 2.1932
O -1.3227 -5.4215 1.6737
O 5.7618 -1.1460 -0.6137
O 0.6625 -4.6330 3.6034
O -0.1016 -4.4905 -3.8359
O 4.2170 -1.3147 -3.4398
O 3.1374 -2.5802 3.8527
O -1.7642 -5.1850 -1.1610
O 2.0262 -3.0433 -2.1652
O 3.3735 -2.4578 0.7962
```

Calculated values
* energy relative to the elements, uncorrected: -40.36 eV/f.u.
* total magnetization: 0.00 μB per formula unit


(5)
Material: CaAg2Sn3
Method: DFT, GGA-PBE
State: optimized geometry

extended XYZ file:
```
12
Lattice="-4.4898 -0.6075 -0.7672 -0.9033 -8.6050 -1.6617 -2.7615 -5.2291 6.5400" Properties=species:S:1:pos:R:3 pbc="T T T"
Ca -4.3824 -2.3358 -0.0272
Ca -3.7722 -12.1058 4.1382
Ag -4.7233 -6.0480 4.9074
Ag -3.4313 -8.3936 -0.7963
Ag -6.1609 -10.0980 2.7659
Ag -1.9937 -4.3436 1.3452
Sn -4.3229 -8.8761 4.8036
Sn -6.6215 -6.9863 2.9969
Sn -4.6192 -4.1367 2.7844
Sn -3.5355 -10.3049 1.3267
Sn -1.5332 -7.4553 1.1142
Sn -3.8317 -5.5655 -0.6925
```

Calculated values
* E_form: -0.21 eV per atom
* total magnetization: 0.00 μB per formula unit


(6)
Material: DyTmSO2
Method: DFT, GGA-PBE
State: optimized geometry

extended XYZ file:
```
10
Lattice="3.9590 0.0000 0.0000 0.0000 6.2504 -0.3929 0.0000 -1.8170 7.1885" Properties=species:S:1:pos:R:3 pbc="T T T"
Dy 0.9897 2.6232 6.3909
Dy 2.9692 1.8102 0.4048
Tm 0.9897 3.5051 2.7563
Tm 2.9692 0.9283 4.0394
S 0.9897 -1.1154 5.4381
S 2.9692 5.5487 1.3576
O 2.9692 2.5402 2.5609
O 0.9897 1.8932 4.2348
O 2.9692 1.6642 6.0873
O 0.9897 2.7692 0.7084
```

Calculated values
* energy relative to the elements, uncorrected: -15.83 eV/f.u.
* total magnetization: 0.00 μB per formula unit


(7)
Material: AlZnMo2
Method: DFT, GGA-PBE
State: optimized geometry

extended XYZ file:
```
4
Lattice="-1.8627 0.0637 -1.9506 0.4821 -2.6403 0.2740 -6.1807 -0.5180 5.8852" Properties=species:S:1:pos:R:3 pbc="T T T"
Mo -6.1624 -0.5164 5.8678
Mo -3.1086 -0.2605 2.9600
Zn -2.2354 -1.4178 0.6330
Al -5.3258 -1.6767 3.5756
```

Calculated values
* E_form: -0.02 eV per atom
* total magnetization: 0.00 μB per formula unit


(8)
Material: NiGe3Ir
Method: DFT, GGA-PBE
State: optimized geometry

extended XYZ file:
```
5
Lattice="4.7641 0.0000 0.0000 0.0000 4.7641 0.0000 0.0000 0.0000 4.7641" Properties=species:S:1:pos:R:3 pbc="T T T"
Ni 2.3821 2.3821 2.3821
Ge 0.0000 2.3821 0.0000
Ge 0.0000 0.0000 2.3821
Ge 2.3821 0.0000 0.0000
Ir 0.0000 0.0000 0.0000
```

Calculated values
* E_form: 0.68 eV per atom
* polymorph energy (0 for the lowest one): 782 meV per atom
* total magnetization: 0.00 μB per formula unit


(9)
Material: PrPa2FeN5
Method: DFT, GGA-PBE
State: optimized geometry

extended XYZ file:
```
18
Lattice="6.5263 0.0000 0.0000 0.0000 6.5263 0.0000 -3.2632 -3.2632 5.6286" Properties=species:S:1:pos:R:3 pbc="T T T"
Pr 0.0000 0.0000 2.8143
Pr 3.2632 3.2632 2.8143
Pa 1.1550 2.1082 0.0000
Pa 4.4181 1.1550 0.0000
Pa 2.1082 5.3714 0.0000
Pa 5.3714 4.4181 0.0000
Fe 0.0000 3.2632 2.8143
Fe 3.2632 0.0000 2.8143
N 5.5914 2.3283 1.5215
N 2.3283 -0.9349 4.1071
N -2.3283 0.9349 4.1071
N -0.9349 -2.3283 4.1071
N 0.9349 2.3283 4.1071
N 4.1981 5.5914 1.5215
N 2.3283 0.9349 1.5215
N 0.9349 4.1981 1.5215
N 3.2632 3.2632 0.0000
N 0.0000 0.0000 0.0000
```

Calculated values
* energy relative to the elements, uncorrected: -10.89 eV/f.u.
* total magnetization: 0.00 μB per formula unit


(10)
Material: Sr2Li2ZnPd
Method: DFT, GGA-PBE
State: optimized geometry

extended XYZ file:
```
12
Lattice="-2.5763 4.4336 -4.5389 -5.8839 -2.8681 0.5381 2.4911 3.8120 7.4755" Properties=species:S:1:pos:R:3 pbc="T T T"
Sr -6.1304 1.5117 -0.2098
Sr -2.0994 0.6319 1.8088
Sr -3.8696 4.7456 1.6659
Sr 0.1613 3.8658 3.6845
Li -2.8962 3.1811 4.7511
Li -3.0728 2.1964 -1.2763
Li -4.6421 -1.4132 1.2544
Li -1.3269 6.7907 2.2203
Zn -0.6441 1.1084 -1.1347
Zn -1.9322 3.3252 -3.4042
Pd -4.8741 1.8911 -3.1351
Pd -3.5860 -0.3256 -0.8657
```

Calculated values
* E_form: -0.24 eV per atom
* total magnetization: 0.00 μB per formula unit


(11)
Material: TbSn3Se6
Method: DFT, GGA-PBE
State: optimized geometry

extended XYZ file:
```
20
Lattice="-0.9087 0.0474 3.9537 9.7936 -7.3432 2.3389 2.7399 11.4586 0.4924" Properties=species:S:1:pos:R:3 pbc="T T T"
Tb 1.7414 7.7982 3.4291
Tb 9.8834 -3.6353 3.3559
Sn 6.0761 6.3704 4.4424
Sn 5.5487 -2.2075 2.3425
Sn 7.6868 -0.0437 4.8895
Sn 3.9381 4.2065 1.8954
Sn 1.2484 0.1427 3.4075
Sn 10.3764 4.0201 3.3774
Se 5.2030 3.6701 4.2741
Se 6.4218 0.4928 2.5108
Se 8.7517 -5.6809 5.2018
Se 2.8731 9.8438 1.5831
Se 3.2920 -1.8359 3.9009
Se 8.3328 5.9988 2.8840
Se 7.4779 -2.7269 4.8736
Se 4.1469 6.8898 1.9113
Se 1.5307 4.8198 3.4163
Se 10.0941 -0.6569 3.3686
Se 9.1526 2.2929 5.1984
Se 2.4722 1.8699 1.5865
```

Calculated values
* energy relative to the elements, uncorrected: -7.11 eV/f.u.
* total magnetization: 0.00 μB per formula unit


(12)
Material: CrCo2Mo
Method: DFT, GGA-PBE
State: optimized geometry

extended XYZ file:
```
4
Lattice="-4.3388 -0.3439 -1.1362 -3.8096 -2.3322 0.5314 -1.9067 2.2277 3.2609" Properties=species:S:1:pos:R:3 pbc="T T T"
Co -8.1232 -2.6266 -0.5538
Co -5.0527 -0.2737 1.2771
Cr -2.5138 -0.1121 0.6640
Mo -7.5413 -0.3363 1.9921
```

Calculated values
* E_form: 0.21 eV per atom
* polymorph energy (0 for the lowest one): 177 meV per atom
* total magnetization: 1.14 μB per formula unit